No. 1
{"formula": "Dy4Tl2In", "functional": "PBE", "state": "optimized geometry", "cell": [[7.3032, 0.0000, -0.6617], [0.0000, 6.6285, 0.0000], [-3.4914, 0.0000, 8.8845]], "species": ["Dy", "Dy", "Dy", "Dy", "Dy", "Dy", "Dy", "Dy", "Tl", "Tl", "Tl", "Tl", "In", "In"], "frac_coords": [[0.4446, 0.9959, 0.7759], [0.9688, 0.2500, 0.5449], [0.5554, 0.0041, 0.2241], [0.9653, 0.2500, 0.1546], [0.0347, 0.7500, 0.8454], [0.0312, 0.7500, 0.4551], [0.4446, 0.5041, 0.7759], [0.5554, 0.4959, 0.2241], [0.7692, 0.7500, 0.0581], [0.2308, 0.2500, 0.9419], [0.3882, 0.2500, 0.4553], [0.6118, 0.7500, 0.5447], [0.2054, 0.7500, 0.2145], [0.7946, 0.2500, 0.7855]], "formation_energy_mev_per_atom": -144, "sg": "No. 11"}



No. 2
{"formula": "Dy3TlIn", "functional": "PBE", "state": "optimized geometry", "cell": [[5.6586, 0.0000, 0.0000], [0.0000, 8.0275, -0.0008], [0.0000, -4.0123, 6.9528]], "species": ["Tl", "Tl", "Dy", "Dy", "Dy", "Dy", "Dy", "Dy", "In", "In"], "frac_coords": [[0.5000, 0.0000, 0.0000], [0.0000, 0.0000, 0.0000], [0.2500, 0.3883, 0.1943], [0.2500, 0.8058, 0.1942], [0.2500, 0.8057, 0.6117], [0.7500, 0.6117, 0.8057], [0.7500, 0.1943, 0.3883], [0.7500, 0.1942, 0.8058], [0.2500, 0.3335, 0.6665], [0.7500, 0.6665, 0.3335]], "formation_energy_mev_per_atom": 8, "sg": "No. 194"}



No. 3
{"formula": "Dy6Tl5In", "functional": "PBE", "state": "optimized geometry", "cell": [[-1.1484, 3.4690, -5.4243], [-8.5481, -3.6480, -3.1166], [-7.0163, 2.0106, 1.4746]], "species": ["Dy", "Dy", "Dy", "Dy", "Dy", "Dy", "Tl", "Tl", "Tl", "Tl", "Tl", "In"], "frac_coords": [[0.2454, 0.2515, 0.0000], [0.2499, 0.5838, 0.3318], [0.2499, 0.9156, 0.6682], [0.7546, 0.7485, 0.0000], [0.7501, 0.0844, 0.3318], [0.7501, 0.4162, 0.6682], [0.5000, 0.1641, 0.6718], [0.0000, 0.6701, 0.6598], [0.5000, 0.5000, 0.0000], [0.5000, 0.8359, 0.3282], [0.0000, 0.3299, 0.3402], [0.0000, 0.0000, 0.0000]], "formation_energy_mev_per_atom": -263, "sg": "No. 12"}



No. 4
{"formula": "DyTlIn2", "functional": "PBE", "state": "optimized geometry", "cell": [[3.8363, 0.0000, 0.0000], [0.0000, 3.8363, 0.0000], [0.0000, 0.0000, 7.4031]], "species": ["In", "In", "Tl", "Dy"], "frac_coords": [[0.0000, 0.0000, 0.2504], [0.0000, 0.0000, 0.7496], [0.5000, 0.5000, 0.5000], [0.5000, 0.5000, 0.0000]], "formation_energy_mev_per_atom": -183, "sg": "No. 123"}



No. 5
{"formula": "Dy4Tl5In", "functional": "PBE", "state": "optimized geometry", "cell": [[-1.6236, -2.3379, -4.0411], [5.8349, -2.9154, -0.6577], [-5.4985, -3.3845, 7.1902]], "species": ["Dy", "Dy", "Dy", "Dy", "Tl", "Tl", "Tl", "Tl", "Tl", "In"], "frac_coords": [[0.3012, 0.7216, 0.6025], [0.6988, 0.2784, 0.3975], [0.0865, 0.8383, 0.1730], [0.9135, 0.1617, 0.8270], [0.8942, 0.6327, 0.7884], [0.7043, 0.7968, 0.4086], [0.5000, 0.5000, 0.0000], [0.2957, 0.2032, 0.5914], [0.1058, 0.3673, 0.2116], [0.5000, 0.0000, 0.0000]], "formation_energy_mev_per_atom": -307, "sg": "No. 12"}



No. 6
{"formula": "Dy4Tl3In", "functional": "PBE", "state": "optimized geometry", "cell": [[3.7761, 0.0000, 0.0000], [0.0000, 3.7761, 0.0000], [0.0000, 0.0000, 15.1880]], "species": ["Dy", "Dy", "Dy", "Dy", "In", "Tl", "Tl", "Tl"], "frac_coords": [[0.0000, 0.0000, 0.8773], [0.0000, 0.0000, 0.1227], [0.0000, 0.0000, 0.3738], [0.0000, 0.0000, 0.6262], [0.5000, 0.5000, 0.0000], [0.5000, 0.5000, 0.2483], [0.5000, 0.5000, 0.5000], [0.5000, 0.5000, 0.7517]], "formation_energy_mev_per_atom": -375, "sg": "No. 123"}



No. 7
{"formula": "Dy6TlIn2", "functional": "PBE", "state": "optimized geometry", "cell": [[-0.9788, -5.0510, -0.6465], [6.3839, -1.6454, 3.1898], [-6.2185, 3.1425, 5.6589]], "species": ["Dy", "Dy", "Dy", "Dy", "Dy", "Dy", "Tl", "In", "In"], "frac_coords": [[0.8332, 0.0835, 0.6658], [0.1668, 0.4177, 0.3342], [0.1668, 0.9165, 0.3342], [0.5000, 0.2508, 0.0000], [0.8332, 0.5823, 0.6658], [0.5000, 0.7492, 0.0000], [0.0000, 0.0000, 0.0000], [0.6662, 0.6666, 0.3332], [0.3338, 0.3334, 0.6668]], "formation_energy_mev_per_atom": -76, "sg": "No. 71"}



No. 8
{"formula": "Dy12Tl2In5", "functional": "PBE", "state": "optimized geometry", "cell": [[-1.9577, -6.8735, -1.0006], [8.6280, 0.9730, 2.4585], [-3.1340, -0.4908, 9.5027]], "species": ["In", "In", "In", "In", "In", "Dy", "Dy", "Dy", "Dy", "Dy", "Dy", "Dy", "Dy", "Dy", "Dy", "Dy", "Dy", "Tl", "Tl"], "frac_coords": [[0.3465, 0.6930, 0.1636], [0.0000, 0.0000, 0.5000], [0.7199, 0.4397, 0.3424], [0.2801, 0.5603, 0.6576], [0.6535, 0.3070, 0.8364], [0.1156, 0.7082, 0.4423], [0.4074, 0.2918, 0.5577], [0.8844, 0.2918, 0.5577], [0.9038, 0.8075, 0.1758], [0.5232, 0.0464, 0.3134], [0.4223, 0.3586, 0.1178], [0.5926, 0.7082, 0.4423], [0.0962, 0.1925, 0.8242], [0.4768, 0.9536, 0.6866], [0.9363, 0.3586, 0.1178], [0.5777, 0.6414, 0.8822], [0.0637, 0.6414, 0.8822], [0.7145, 0.0000, 0.0000], [0.2855, 0.0000, 0.0000]], "formation_energy_mev_per_atom": -99, "sg": "No. 12"}